[1]
# CsCe2Se5

A relaxed structure of CsCe2Se5 (PBE-GGA, the Alexandria database).

a b c (Å): 4.4346 8.6272 8.6272
angles (deg): 51.16 75.11 75.11
Sites, in units of the cell vectors:
Se  0.3437  0.9004  0.4122
Cs  0.0000  0.0000  0.0000
Ce  0.1916  0.3084  0.3084
Se  0.0000  0.5000  0.5000
Se  0.6563  0.5878  0.0996
Se  0.6563  0.0996  0.5878
Se  0.3437  0.4122  0.9004
Ce  0.8084  0.6916  0.6916

Results
* mass density: 5.44 g cm⁻³
* raw formation energy: -1.42 eV/atom
* volume: 30.8 Å³ per atom
* final energy: -5.1885 eV per atom


[2]
# V4BMo2

A relaxed structure of V4BMo2 (PBE-GGA, the Alexandria database).

a b c (Å): 4.0512 4.0512 6.8118
angles (deg): 72.70 72.70 90.00
Sites, in units of the cell vectors:
V  0.0000  0.5000  0.0000
V  0.8280  0.8280  0.3440
V  0.5000  0.0000  0.0000
Mo  0.3682  0.3682  0.2636
B  0.0000  0.0000  0.0000
V  0.1720  0.1720  0.6560
Mo  0.6318  0.6318  0.7364

Results
* mass density: 6.65 g cm⁻³
* volume: 14.5 Å³ per atom
* final energy: -8.7795 eV per atom


[3]
# NaCdSe2Br

A relaxed structure of NaCdSe2Br (PBE-GGA, the Alexandria database).

a b c (Å): 5.2273 5.2273 5.8951
angles (deg): 90.00 90.00 90.00
Each line ends with the local moment (μB).
Sites, in units of the cell vectors:
Na  0.5000  0.5000  0.5000  0.00
Cd  0.0000  0.0000  0.0000  0.00
Br  0.0000  0.0000  0.5000  0.08
Se  0.0000  0.5000  0.0000  0.26
Se  0.5000  0.0000  0.0000  0.26

Results
* mass density: 3.85 g cm⁻³
* distance to the lowest polymorph of the same formula: 0 meV per atom
* raw formation energy: -0.26 eV/atom
* volume: 32.2 Å³ per atom
* final energy: -2.4306 eV per atom


[4]
# TaV3Os

A relaxed structure of TaV3Os (PBE-GGA, the Alexandria database).

a b c (Å): 4.4823 4.4823 4.4823
angles (deg): 90.00 90.00 90.00
Sites, in units of the cell vectors:
Ta  0.0000  0.0000  0.0000
Os  0.5000  0.5000  0.5000
V  0.0000  0.0000  0.5000
V  0.0000  0.5000  0.0000
V  0.5000  0.0000  0.0000

Results
* mass density: 9.66 g cm⁻³
* distance to the lowest polymorph of the same formula: 2059 meV per atom
* volume: 18.0 Å³ per atom
* final energy: -8.2322 eV per atom


[5]
# Ce2MgBePd6

A relaxed structure of Ce2MgBePd6 (PBE-GGA, the Alexandria database).

a b c (Å): 5.8072 7.5231 7.5250
angles (deg): 45.42 67.12 89.85
Each line ends with the local moment (μB).
Sites, in units of the cell vectors:
Ce  0.2515  0.7508  0.4996  0.70
Be  0.5000  0.5000  0.0000  0.00
Pd  0.2615  0.7355  0.9575  -0.01
Pd  0.2242  0.2639  0.0401  -0.01
Pd  0.7386  0.7805  0.5262  -0.01
Ce  0.7485  0.2492  0.5004  0.70
Pd  0.7758  0.7361  0.9599  -0.01
Pd  0.2614  0.2195  0.4738  -0.01
Mg  0.0000  0.0000  0.0000  0.00
Pd  0.7385  0.2645  0.0425  -0.01

Results
* mass density: 8.04 g cm⁻³
* volume: 19.7 Å³ per atom
* final energy: -5.4068 eV per atom


[6]
# Tm4ThTl7

A relaxed structure of Tm4ThTl7 (PBE-GGA, the Alexandria database).

a b c (Å): 5.8436 9.8582 7.1903
angles (deg): 81.31 66.02 72.76
Sites, in units of the cell vectors:
Th  0.0000  0.0000  0.0000
Tl  0.5000  0.0000  0.0000
Tl  0.0810  0.6649  0.1731
Tl  0.2087  0.1036  0.4789
Tl  0.9190  0.3351  0.8269
Tm  0.4138  0.7832  0.3892
Tl  0.6365  0.4539  0.2732
Tm  0.5862  0.2168  0.6108
Tm  0.2799  0.3249  0.1153
Tl  0.7913  0.8964  0.5211
Tm  0.7201  0.6751  0.8847
Tl  0.3635  0.5461  0.7268

Results
* mass density: 10.75 g cm⁻³
* volume: 30.1 Å³ per atom
* final energy: -3.4814 eV per atom


[7]
# Si3W

A relaxed structure of Si3W (PBE-GGA, the Alexandria database).

a b c (Å): 4.7568 4.7568 4.7568
angles (deg): 90.00 90.00 90.00
Sites, in units of the cell vectors:
W  0.0000  0.0000  0.0000
Si  0.0000  0.5000  0.0000
Si  0.5000  0.0000  0.0000
Si  0.0000  0.0000  0.5000

Results
* mass density: 4.14 g cm⁻³
* distance to the lowest polymorph of the same formula: 567 meV per atom
* raw formation energy: 0.56 eV/atom
* volume: 26.9 Å³ per atom
* final energy: -6.7440 eV per atom


[8]
# IrOsW2

A relaxed structure of IrOsW2 (PBE-GGA, the Alexandria database).

a b c (Å): 4.4413 4.4413 4.4413
angles (deg): 60.00 60.00 60.00
Sites, in units of the cell vectors:
W  0.0000  0.0000  0.0000
W  0.2500  0.2500  0.2500
Ir  0.5000  0.5000  0.5000
Os  0.7500  0.7500  0.7500

Results
* mass density: 20.11 g cm⁻³
* distance to the lowest polymorph of the same formula: 446 meV per atom
* volume: 15.5 Å³ per atom
* final energy: -11.1735 eV per atom


[9]
# NdY6Er8

A relaxed structure of NdY6Er8 (PBE-GGA, the Alexandria database).

a b c (Å): 9.0192 9.0192 8.5921
angles (deg): 58.34 58.34 60.00
Sites, in units of the cell vectors:
Y  0.5383  0.1088  0.1234
Er  0.5760  0.5760  0.2721
Er  0.4240  0.4240  0.7279
Er  0.2559  0.2804  0.5742
Nd  0.0000  0.0000  0.0000
Er  0.1105  0.7441  0.4258
Y  0.8912  0.7705  0.8766
Er  0.8895  0.2559  0.5742
Y  0.4617  0.8912  0.8766
Y  0.1088  0.2295  0.1234
Er  0.7441  0.7196  0.4258
Y  0.2295  0.5383  0.1234
Er  0.2804  0.8895  0.5742
Y  0.7705  0.4617  0.8766
Er  0.7196  0.1105  0.4258

Results
* mass density: 6.95 g cm⁻³
* distance to the lowest polymorph of the same formula: 0 meV per atom
* volume: 32.1 Å³ per atom
* final energy: -5.2082 eV per atom


[10]
# CeAl3Zn2

A relaxed structure of CeAl3Zn2 (PBE-GGA, the Alexandria database).

a b c (Å): 5.5417 5.5417 4.2074
angles (deg): 90.00 90.00 120.00
Each line ends with the local moment (μB).
Sites, in units of the cell vectors:
Al  0.5000  0.5000  0.0000  0.00
Zn  0.6667  0.3333  0.5001  0.01
Zn  0.3333  0.6667  0.4999  0.01
Ce  0.0000  0.0000  0.5000  0.61
Al  0.5000  0.0000  0.0000  0.00
Al  0.0000  0.5000  0.0000  0.00

Results
* mass density: 5.22 g cm⁻³
* distance to the lowest polymorph of the same formula: 0 meV per atom
* volume: 18.6 Å³ per atom
* final energy: -3.5614 eV per atom


[11]
# YS2N

A relaxed structure of YS2N (PBE-GGA, the Alexandria database).

a b c (Å): 5.0594 5.0594 7.2605
angles (deg): 69.61 69.61 90.00
Sites, in units of the cell vectors:
N  0.5000  0.5000  0.0000
S  0.5270  0.1250  0.2500
S  0.2230  0.6250  0.2500
N  0.2500  0.7500  0.5000
S  0.3750  0.4730  0.7500
Y  0.7500  0.2500  0.5000
S  0.8750  0.7770  0.7500
Y  0.0000  0.0000  0.0000

Results
* mass density: 3.43 g cm⁻³
* raw formation energy: 0.13 eV/atom
* volume: 20.2 Å³ per atom
* final energy: -5.6281 eV per atom


[12]
# Co2Tc

A relaxed structure of Co2Tc (PBE-GGA, the Alexandria database).

a b c (Å): 3.0232 3.0232 4.4796
angles (deg): 70.28 70.28 90.00
Each line ends with the local moment (μB).
Sites, in units of the cell vectors:
Co  0.3287  0.3287  0.3426  0.84
Co  0.6713  0.6713  0.6574  0.84
Tc  0.0000  0.0000  0.0000  0.02

Results
* mass density: 9.96 g cm⁻³
* distance to the lowest polymorph of the same formula: 195 meV per atom
* volume: 12.0 Å³ per atom
* final energy: -8.0051 eV per atom


What did the third record say?
# NaCdSe2Br

A relaxed structure of NaCdSe2Br (PBE-GGA, the Alexandria database).

a b c (Å): 5.2273 5.2273 5.8951
angles (deg): 90.00 90.00 90.00
Each line ends with the local moment (μB).
Sites, in units of the cell vectors:
Na  0.5000  0.5000  0.5000  0.00
Cd  0.0000  0.0000  0.0000  0.00
Br  0.0000  0.0000  0.5000  0.08
Se  0.0000  0.5000  0.0000  0.26
Se  0.5000  0.0000  0.0000  0.26

Results
* mass density: 3.85 g cm⁻³
* distance to the lowest polymorph of the same formula: 0 meV per atom
* raw formation energy: -0.26 eV/atom
* volume: 32.2 Å³ per atom
* final energy: -2.4306 eV per atom


> Number 11 is which compound?

YS2N